BaCoMo2 (PBE, optimized geometry); energy above the most stable polymorph in this dataset = 262.7 kJ/mol of formula units; ΔE_f = 1.32 eV per atom; space group = P4/mmm (123); N(E_F) = 0.952 states/eV/atom
1.0
3.7979 0.0000 0.0000
0.0000 3.7979 0.0000
0.0000 0.0000 5.4247
Ba Co Mo
1 1 2
direct
0.0000 0.0000 0.0000
0.5000 0.5000 0.0000
0.0000 0.5000 0.5000
0.5000 0.0000 0.5000

---

BaCoMo2 (PBE, optimized geometry); energy above the most stable polymorph in this dataset = 42.2 kJ/mol of formula units; ΔE_f = 0.75 eV per atom; space group = P4/mmm (123); N(E_F) = 1.191 states/eV/atom
1.0
3.2844 0.0000 0.0000
0.0000 3.2844 0.0000
0.0000 0.0000 7.7638
Ba Co Mo
1 1 2
direct
0.0000 0.0000 0.0000
0.0000 0.0000 0.5000
0.5000 0.5000 0.3533
0.5000 0.5000 0.6467

---

BaCo2Mo (PBE, optimized geometry); energy above the most stable polymorph in this dataset = 114.0 kJ/mol of formula units; ΔE_f = 0.71 eV per atom; space group = P4mm (99); N(E_F) = 1.102 states/eV/atom
1.0
3.1575 0.0000 0.0000
0.0000 3.1575 0.0000
0.0000 0.0000 7.6519
Ba Co Mo
1 2 1
direct
0.0000 0.0000 0.0000
0.0000 0.0000 0.4808
0.5000 0.5000 0.3270
0.5000 0.5000 0.6330

---

BaCoMo2 (PBE, optimized geometry); energy above the most stable polymorph in this dataset = 198.9 kJ/mol of formula units; ΔE_f = 1.15 eV per atom; space group = Imm2 (44); N(E_F) = 1.217 states/eV/atom
1.0
3.2195 0.0000 0.0000
0.0000 5.6877 0.0000
0.0000 0.0000 9.3419
Ba Co Mo
2 2 4
direct
0.0000 0.0000 0.0000
0.5000 0.5000 0.5000
0.0000 0.5000 0.7879
0.5000 0.0000 0.2879
0.0000 0.0000 0.5044
0.0000 0.5000 0.1986
0.5000 0.0000 0.6986
0.5000 0.5000 0.0044

---

BaCo2Mo (PBE, optimized geometry); energy above the most stable polymorph in this dataset = 29.7 kJ/mol of formula units; ΔE_f = 0.49 eV per atom; space group = P4/mmm (123); N(E_F) = 0.869 states/eV/atom
1.0
3.1236 0.0000 0.0000
0.0000 3.1236 0.0000
0.0000 0.0000 7.6169
Ba Co Mo
1 2 1
direct
0.0000 0.0000 0.0000
0.5000 0.5000 0.3369
0.5000 0.5000 0.6631
0.0000 0.0000 0.5000

---

Ba2CoMo2 (PBE, optimized geometry); energy above the most stable polymorph in this dataset = 0.0 kJ/mol of formula units; ΔE_f = 0.91 eV per atom; space group = I4/mmm (139); N(E_F) = 1.017 states/eV/atom
1.0
3.5780 0.0000 0.0000
0.0000 3.5780 0.0000
0.0000 0.0000 20.8627
Ba Co Mo
4 2 4
direct
0.0000 0.0000 0.0912
0.0000 0.0000 0.9088
0.5000 0.5000 0.4088
0.5000 0.5000 0.5912
0.0000 0.0000 0.5000
0.5000 0.5000 0.0000
0.0000 0.5000 0.2500
0.0000 0.5000 0.7500
0.5000 0.0000 0.2500
0.5000 0.0000 0.7500

---

BaCo2Mo (PBE, optimized geometry); energy above the most stable polymorph in this dataset = 90.5 kJ/mol of formula units; ΔE_f = 0.64 eV per atom; space group = Pm (6); N(E_F) = 1.274 states/eV/atom
1.0
3.4916 0.0000 0.0000
0.0000 3.7203 0.0000
-1.6979 0.0000 6.4953
Ba Co Mo
1 2 1
direct
0.0000 0.0000 0.0000
0.6444 0.5000 0.2968
0.7421 0.0000 0.5127
0.2579 0.5000 0.5325

---

BaCo3Mo (PBE, optimized geometry); energy above the most stable polymorph in this dataset = 0.0 kJ/mol of formula units; ΔE_f = 0.91 eV per atom; space group = Pm-3m (221); N(E_F) = 1.165 states/eV/atom
1.0
4.6392 0.0000 0.0000
0.0000 4.6392 0.0000
0.0000 0.0000 4.6392
Ba Co Mo
1 3 1
direct
0.0000 0.0000 0.0000
0.0000 0.5000 0.5000
0.5000 0.0000 0.5000
0.5000 0.5000 0.0000
0.5000 0.5000 0.5000